Material: YHoGa2Pt4
Method: DFT, GGA-PBE
State: relaxed

Its excess energy over the best structure of this formula in the dataset is 175.0 meV per atom. The total energy is -6.05 eV per atom.

The structure belongs to space group P4/mmm (No. 123); the cell edges are 4.693, 4.693 and 6.648 Å and the angles 90.00°, 90.00° and 90.00°. The asymmetric unit holds Y at (0.000, 0.000, 0.000), Ho at (0.500, 0.500, 0.500), Ga at (0.000, 0.000, 0.500), Ga at (0.500, 0.500, 0.000) and Pt at (0.000, 0.500, 0.252).